SrLa6Sm8, relaxed, DFT PBE-GGA; M_tot = 0.0 μB per formula unit; energy of formation = 0.172 eV/atom; crystal system = trigonal
1.0
5.002 2.888 6.251
-5.002 2.888 6.251
0.000 -5.776 6.251
Sr La Sm
1 6 8
Direct
0.000 0.000 0.000
0.167 0.427 0.621
0.379 0.833 0.573
0.427 0.621 0.167
0.573 0.379 0.833
0.621 0.167 0.427
0.833 0.573 0.379
0.056 0.858 0.388
0.142 0.612 0.944
0.228 0.228 0.228
0.388 0.056 0.858
0.612 0.944 0.142
0.772 0.772 0.772
0.858 0.388 0.056
0.944 0.142 0.612

KP4Cl, relaxed, DFT PBE-GGA; formation energy (no corrections) = -0.415 eV/atom; M_tot = 0.0 μB per formula unit; crystal system = cubic
1.0
0.000 4.365 4.365
4.365 0.000 4.365
4.365 4.365 0.000
K P Cl
1 4 1
Direct
0.000 0.000 0.000
0.233 0.589 0.589
0.589 0.233 0.589
0.589 0.589 0.233
0.589 0.589 0.589
0.250 0.250 0.250

Y8Er2Al, relaxed, DFT PBE-GGA; M_tot = 0.0 μB per formula unit; energy of formation = -0.047 eV/atom; crystal system = monoclinic
1.0
9.590 -2.745 0.000
9.590 2.745 0.000
-0.448 0.000 6.410
Y Er Al
8 2 1
Direct
0.043 0.043 0.253
0.156 0.156 0.809
0.342 0.342 0.876
0.422 0.422 0.397
0.578 0.578 0.603
0.658 0.658 0.124
0.844 0.844 0.191
0.957 0.957 0.747
0.241 0.241 0.336
0.759 0.759 0.664
0.500 0.500 0.000

Tb3HgP, relaxed, DFT PBE-GGA; M_tot = 0.0 μB per formula unit; energy of formation = -0.824 eV/atom; crystal system = orthorhombic
1.0
8.900 0.000 0.000
0.000 3.953 0.000
0.000 0.000 15.304
Tb Hg P
12 4 4
Direct
0.017 0.250 0.107
0.160 0.250 0.534
0.174 0.750 0.297
0.326 0.250 0.797
0.340 0.750 0.034
0.483 0.750 0.607
0.517 0.250 0.393
0.660 0.250 0.966
0.674 0.750 0.203
0.826 0.250 0.703
0.840 0.750 0.466
0.983 0.750 0.893
0.109 0.750 0.690
0.391 0.250 0.190
0.609 0.750 0.810
0.891 0.250 0.310
0.176 0.250 0.951
0.324 0.750 0.451
0.676 0.250 0.549
0.824 0.750 0.049

TbTeO, relaxed, DFT PBE-GGA; formation energy (no corrections) = -2.267 eV/atom; M_tot = 0.0 μB per formula unit; crystal system = orthorhombic
1.0
13.691 0.000 0.000
0.000 3.784 0.000
0.000 0.000 5.575
Tb Te O
4 4 4
Direct
0.185 0.250 0.063
0.315 0.750 0.563
0.685 0.250 0.437
0.815 0.750 0.937
0.007 0.750 0.262
0.493 0.250 0.762
0.507 0.750 0.238
0.993 0.250 0.738
0.241 0.750 0.911
0.259 0.250 0.411
0.741 0.750 0.589
0.759 0.250 0.089

LaBeIr, relaxed, DFT PBE-GGA; M_tot = 0.0 μB per formula unit; distance to the lowest polymorph of the same formula = 0.000 eV/atom; energy of formation = -0.578 eV/atom; crystal system = hexagonal
1.0
3.998 0.000 0.000
-1.999 3.462 0.000
0.000 0.000 4.279
La Be Ir
1 1 1
Direct
0.000 0.000 0.000
0.667 0.333 0.500
0.333 0.667 0.500

TbPrGeCl, relaxed, DFT PBE-GGA; formation energy (no corrections) = -0.960 eV/atom; M_tot = 0.0 μB per formula unit; crystal system = orthorhombic
1.0
5.848 0.000 0.000
0.000 2.457 4.315
0.000 -2.457 4.315
Tb Pr Ge Cl
1 1 1 1
Direct
0.000 0.000 0.000
0.500 0.331 0.331
0.000 0.331 0.331
0.500 0.000 0.000

PaTiNi4, relaxed, DFT PBE-GGA; M_tot = 1.6 μB per formula unit; energy of formation = -0.341 eV/atom; crystal system = cubic
1.0
0.000 3.477 3.477
3.477 0.000 3.477
3.477 3.477 0.000
Pa Ti Ni
1 1 4
Direct
0.000 0.000 0.000
0.250 0.250 0.250
0.129 0.624 0.624
0.624 0.129 0.624
0.624 0.624 0.129
0.624 0.624 0.624

Cs3SeF, relaxed, DFT PBE-GGA; formation energy (no corrections) = -1.615 eV/atom; M_tot = 0.0 μB per formula unit; distance to the lowest polymorph of the same formula = 0.039 eV/atom; crystal system = triclinic
1.0
8.327 0.000 0.000
-4.161 7.218 0.000
-4.160 -2.400 7.398
Cs Se F
6 2 2
Direct
0.022 0.471 0.233
0.262 0.051 0.233
0.319 0.289 0.767
0.681 0.711 0.233
0.738 0.949 0.767
0.978 0.529 0.767
0.226 0.863 0.589
0.774 0.137 0.411
0.190 0.345 0.035
0.810 0.655 0.965

TlTcPt2, relaxed, DFT PBE-GGA; M_tot = 0.6 μB per formula unit; distance to the lowest polymorph of the same formula = 0.163 eV/atom; energy of formation = 0.252 eV/atom; crystal system = monoclinic
1.0
4.654 -1.472 0.000
4.654 1.472 0.000
-0.727 0.000 4.997
Tl Tc Pt
1 1 2
Direct
0.000 0.000 0.000
0.500 0.500 0.500
0.242 0.242 0.728
0.758 0.758 0.272

Cr2HgBSe, relaxed, DFT PBE-GGA; formation energy (no corrections) = 1.282 eV/atom; M_tot = 8.0 μB per formula unit; crystal system = tetragonal
1.0
5.236 0.000 0.000
0.000 5.236 0.000
0.000 0.000 4.005
Cr Hg B Se
2 1 1 1
Direct
0.000 0.500 0.000
0.500 0.000 0.000
0.000 0.000 0.000
0.000 0.000 0.500
0.500 0.500 0.500

CaTh2H, relaxed, DFT PBE-GGA; M_tot = 0.0 μB per formula unit; crystal system = trigonal; electronic total energy = -19.8 eV per cell
1.0
1.746 1.008 10.110
-1.746 1.008 10.110
0.000 -2.017 10.110
Ca Th H
1 2 1
Direct
0.000 0.000 0.000
0.114 0.114 0.114
0.886 0.886 0.886
0.500 0.500 0.500